Below is a relaxed ErAl2Zn crystal, with properties calculated at the PBE-GGA level.

Calculated values
DFT formation energy = -0.215 eV per atom
Calculated total energy = -14.181 eV/cell
Crystal system = orthorhombic
DOS at the Fermi energy = 0.70 states/eV/atom

Cell: 5.3749 5.3749 3.2136 Å, 90.00 90.00 119.27°
With the nearest neighbours (Å) after each atom.
Atoms (fractional coordinates):
Er  0.0000  0.0000  0.0000  8 Al 3.13, 4 Zn 3.16, 2 Er 3.21
Al  0.0000  0.5000  0.5000  2 Zn 2.69, 2 Al 2.72
Al  0.5000  0.0000  0.5000  2 Zn 2.69, 2 Al 2.72
Zn  0.5000  0.5000  0.5000  4 Al 2.69

Below is a relaxed Er5AlZn2 crystal, with properties calculated at the PBE-GGA level.

Calculated values
DFT formation energy = -0.253 eV per atom
Calculated total energy = -62.262 eV/cell
Crystal system = tetragonal
DOS at the Fermi energy = 0.74 states/eV/atom

Cell: 9.0591 9.0591 9.0591 Å, 131.84 131.84 70.48°
With the nearest neighbours (Å) after each atom.
Atoms (fractional coordinates):
Er  0.0000  0.0000  0.0000  4 Zn 2.94
Er  0.0182  0.5182  0.8364  3 Zn 3.10-3.12, 2 Al 3.12, 1 Er 3.42
Er  0.1818  0.0182  0.5000  3 Zn 3.10-3.12, 2 Al 3.12, 1 Er 3.42
Er  0.3182  0.8182  0.8364  3 Zn 3.10-3.12, 2 Al 3.12, 1 Er 3.42
Er  0.4818  0.3182  0.5000  3 Zn 3.10-3.12, 2 Al 3.12, 1 Er 3.42
Er  0.5000  0.5000  0.0000  4 Zn 2.94
Er  0.5182  0.6818  0.5000  3 Zn 3.10-3.12, 2 Al 3.12, 1 Er 3.42
Er  0.6818  0.1818  0.1636  3 Zn 3.10-3.12, 2 Al 3.12, 1 Er 3.42
Er  0.8182  0.9818  0.5000  3 Zn 3.10-3.12, 2 Al 3.12, 1 Er 3.42
Er  0.9818  0.4818  0.1636  3 Zn 3.10-3.12, 2 Al 3.12, 1 Er 3.42
Al  0.2500  0.2500  0.0000  8 Er 3.12
Al  0.7500  0.7500  0.0000  8 Er 3.12
Zn  0.1214  0.3786  0.5000  1 Zn 2.54
Zn  0.3786  0.8786  0.2572  1 Zn 2.54
Zn  0.6214  0.1214  0.7428  1 Zn 2.54
Zn  0.8786  0.6214  0.5000  1 Zn 2.54

Below is a relaxed Er2AlZn3 crystal, with properties calculated at the PBE-GGA level.

Calculated values
Excess energy over the best structure of this formula in the dataset = 0 meV/atom
DFT formation energy = -0.411 eV per atom
Calculated total energy = -38.312 eV/cell
Crystal system = orthorhombic
DOS at the Fermi energy = 0.67 states/eV/atom

Cell: 8.9089 8.4756 5.6728 Å, 75.15 66.86 37.99°
With the nearest neighbours (Å) after each atom.
Atoms (fractional coordinates):
Er  0.2443  0.7557  0.7557  10 Zn 3.09-3.13, 2 Al 3.12, 1 Er 3.43
Er  0.2500  0.2500  0.2500  8 Zn 3.12, 4 Al 3.12
Er  0.7500  0.7500  0.7500  8 Zn 3.12, 4 Al 3.12
Er  0.7557  0.2443  0.2443  10 Zn 3.09-3.13, 2 Al 3.12, 1 Er 3.43
Al  0.3342  0.3342  0.6658  3 Zn 2.56-2.59
Al  0.6658  0.6658  0.3342  3 Zn 2.56-2.59
Zn  0.1663  0.1663  0.8337  2 Zn 2.58, 1 Al 2.59
Zn  0.1676  0.6665  0.3335  2 Zn 2.56-2.58, 1 Al 2.56
Zn  0.3335  0.8324  0.1676  2 Zn 2.56-2.58, 1 Al 2.56
Zn  0.6665  0.1676  0.8324  2 Zn 2.56-2.58, 1 Al 2.56
Zn  0.8324  0.3335  0.6665  2 Zn 2.56-2.58, 1 Al 2.56
Zn  0.8337  0.8337  0.1663  2 Zn 2.58, 1 Al 2.59

Below is a relaxed Er4AlZn2 crystal, with properties calculated at the PBE-GGA level.

Calculated values
Excess energy over the best structure of this formula in the dataset = 53 meV/atom
DFT formation energy = -0.158 eV per atom
Calculated total energy = -51.290 eV/cell
Crystal system = tetragonal
DOS at the Fermi energy = 1.34 states/eV/atom

Cell: 7.6759 7.6759 7.6759 Å, 108.93 108.93 110.56°
With the nearest neighbours (Å) after each atom.
Atoms (fractional coordinates):
Er  0.1246  0.7286  0.7464  4 Zn 2.93-3.19, 2 Al 3.00-3.14
Er  0.1282  0.2322  0.7536  4 Zn 2.93-3.19, 2 Al 3.00-3.14
Er  0.2714  0.0178  0.3960  4 Zn 2.93-3.19, 2 Al 3.00-3.14
Er  0.4786  0.3746  0.2464  4 Zn 2.93-3.19, 2 Al 3.00-3.14
Er  0.6218  0.8754  0.6040  4 Zn 2.93-3.19, 2 Al 3.00-3.14
Er  0.6254  0.8718  0.1040  4 Zn 2.93-3.19, 2 Al 3.00-3.14
Er  0.7678  0.5214  0.8960  4 Zn 2.93-3.19, 2 Al 3.00-3.14
Er  0.9822  0.3782  0.2536  4 Zn 2.93-3.19, 2 Al 3.00-3.14
Al  0.0000  0.0000  0.0000  8 Er 3.00-3.14
Al  0.7500  0.2500  0.5000  8 Er 3.00-3.14
Zn  0.2493  0.6250  0.1243  8 Er 2.93-3.19
Zn  0.3750  0.4993  0.6243  8 Er 2.93-3.19
Zn  0.5007  0.1250  0.8757  8 Er 2.93-3.19
Zn  0.8750  0.7507  0.3757  8 Er 2.93-3.19

Below is a relaxed ErAl4Zn crystal, with properties calculated at the PBE-GGA level.

Calculated values
DFT formation energy = -0.208 eV per atom
Calculated total energy = -22.053 eV/cell
Crystal system = orthorhombic
DOS at the Fermi energy = 0.36 states/eV/atom

Cell: 6.6838 6.6838 4.1438 Å, 90.00 90.00 143.44°
With the nearest neighbours (Å) after each atom.
Atoms (fractional coordinates):
Er  0.0000  0.0000  0.0000  4 Zn 2.95, 8 Al 3.04-3.06
Al  0.1748  0.8252  0.5000  8 Al 2.81-2.95, 2 Er 3.04, 2 Zn 3.05
Al  0.3243  0.6757  0.0000  8 Al 2.81-2.95, 2 Zn 3.04, 2 Er 3.06
Al  0.6757  0.3243  0.0000  8 Al 2.81-2.95, 2 Zn 3.04, 2 Er 3.06
Al  0.8252  0.1748  0.5000  8 Al 2.81-2.95, 2 Er 3.04, 2 Zn 3.05
Zn  0.5000  0.5000  0.5000  4 Er 2.95, 8 Al 3.04-3.05

Below is a relaxed Er2Al3Zn9 crystal, with properties calculated at the PBE-GGA level.

Calculated values
DFT formation energy = -0.235 eV per atom
Calculated total energy = -70.225 eV/cell
Crystal system = orthorhombic
DOS at the Fermi energy = 0.27 states/eV/atom

Cell: 7.6814 7.6814 9.2673 Å, 90.00 90.00 60.84°
With the nearest neighbours (Å) after each atom.
Atoms (fractional coordinates):
Er  0.0020  0.3243  0.2500  11 Zn 3.04-3.28, 4 Al 3.32-3.41
Er  0.3243  0.0020  0.7500  11 Zn 3.04-3.28, 4 Al 3.32-3.41
Er  0.6757  0.9980  0.2500  11 Zn 3.04-3.28, 4 Al 3.32-3.41
Er  0.9980  0.6757  0.7500  11 Zn 3.04-3.28, 4 Al 3.32-3.41
Al  0.0000  0.0000  0.0000  8 Zn 2.56-2.70
Al  0.0000  0.0000  0.5000  8 Zn 2.56-2.70
Al  0.3157  0.3157  0.0000  8 Zn 2.62-2.82
Al  0.3157  0.3157  0.5000  8 Zn 2.62-2.82
Al  0.6843  0.6843  0.0000  8 Zn 2.62-2.82
Al  0.6843  0.6843  0.5000  8 Zn 2.62-2.82
Zn  0.0213  0.6597  0.0886  3 Zn 2.61-2.83, 3 Al 2.63-2.67
Zn  0.0213  0.6597  0.4114  3 Zn 2.61-2.83, 3 Al 2.63-2.67
Zn  0.1396  0.8604  0.2500  2 Al 2.56, 6 Zn 2.61-2.72
Zn  0.3377  0.6623  0.5666  3 Al 2.70-2.82, 5 Zn 2.71-2.83
Zn  0.3377  0.6623  0.9334  3 Al 2.70-2.82, 5 Zn 2.71-2.83
Zn  0.3403  0.9787  0.0886  3 Zn 2.61-2.83, 3 Al 2.63-2.67
Zn  0.3403  0.9787  0.4114  3 Zn 2.61-2.83, 3 Al 2.63-2.67
Zn  0.3494  0.4547  0.2500  6 Zn 2.60-2.72, 2 Al 2.62
Zn  0.4547  0.3494  0.7500  6 Zn 2.60-2.72, 2 Al 2.62
Zn  0.5453  0.6506  0.2500  6 Zn 2.60-2.72, 2 Al 2.62
Zn  0.6506  0.5453  0.7500  6 Zn 2.60-2.72, 2 Al 2.62
Zn  0.6597  0.0213  0.5886  3 Zn 2.61-2.83, 3 Al 2.63-2.67
Zn  0.6597  0.0213  0.9114  3 Zn 2.61-2.83, 3 Al 2.63-2.67
Zn  0.6623  0.3377  0.0666  3 Al 2.70-2.82, 5 Zn 2.71-2.83
Zn  0.6623  0.3377  0.4334  3 Al 2.70-2.82, 5 Zn 2.71-2.83
Zn  0.8604  0.1396  0.7500  2 Al 2.56, 6 Zn 2.61-2.72
Zn  0.9787  0.3403  0.5886  3 Zn 2.61-2.83, 3 Al 2.63-2.67
Zn  0.9787  0.3403  0.9114  3 Zn 2.61-2.83, 3 Al 2.63-2.67

Below is a relaxed ErAlZn11 crystal, with properties calculated at the PBE-GGA level.

Calculated values
DFT formation energy = -0.158 eV per atom
Calculated total energy = -24.375 eV/cell
Crystal system = monoclinic
DOS at the Fermi energy = 0.19 states/eV/atom

Cell: 6.7842 6.7842 6.7862 Å, 98.59 98.59 134.44°
With the nearest neighbours (Å) after each atom.
Atoms (fractional coordinates):
Er  0.0000  0.0000  0.0000  18 Zn 3.13-3.40, 2 Al 3.39
Al  0.0000  0.0000  0.5000  10 Zn 2.61-2.74
Zn  0.0000  0.5000  0.0000  10 Zn 2.57-2.73
Zn  0.0006  0.6456  0.6473  7 Zn 2.59-2.87, 1 Al 2.74
Zn  0.2876  0.5050  0.7853  8 Zn 2.57-2.87, 1 Al 2.61
Zn  0.3544  0.9994  0.3527  7 Zn 2.59-2.87, 1 Al 2.74
Zn  0.4950  0.7124  0.2147  8 Zn 2.57-2.87, 1 Al 2.61
Zn  0.5000  0.0000  0.0000  10 Zn 2.57-2.73
Zn  0.5000  0.5000  0.5000  8 Zn 2.59-2.74, 2 Al 2.63
Zn  0.5050  0.2876  0.7853  8 Zn 2.57-2.87, 1 Al 2.61
Zn  0.6456  0.0006  0.6473  7 Zn 2.59-2.87, 1 Al 2.74
Zn  0.7124  0.4950  0.2147  8 Zn 2.57-2.87, 1 Al 2.61
Zn  0.9994  0.3544  0.3527  7 Zn 2.59-2.87, 1 Al 2.74

Below is a relaxed ErAl2Zn crystal, with properties calculated at the PBE-GGA level.

Calculated values
DFT formation energy = -0.072 eV per atom
Calculated total energy = -13.610 eV/cell
Crystal system = cubic
DOS at the Fermi energy = 0.75 states/eV/atom

Cell: 4.7790 4.7790 4.7790 Å, 60.00 60.00 60.00°
With the nearest neighbours (Å) after each atom.
Atoms (fractional coordinates):
Er  0.0000  0.0000  0.0000  8 Al 2.93
Al  0.2500  0.2500  0.2500  4 Er 2.93, 4 Zn 2.93
Al  0.7500  0.7500  0.7500  4 Er 2.93, 4 Zn 2.93
Zn  0.5000  0.5000  0.5000  8 Al 2.93